The following is a GGA-PBE calculation of a geometry-optimized NaSc3Tc structure, from the Alexandria database.

Summary:
Energy relative to the elements, eV per formula unit: 7.5
V, Å³/f.u.: 121
Total moment, μB per formula unit: 0.40
Offset from the most stable computed form, meV/atom: 1327
Crystal system: cubic
Raw total energy, Ha/atom: -0.171

a b c (Å): 4.9441 4.9441 4.9441
angles (deg): 90.00 90.00 90.00
Sites, in units of the cell vectors:
Na1 0.0000 0.0000 0.0000
Sc1 0.0000 0.0000 0.5000
Sc2 0.0000 0.5000 0.0000
Sc3 0.5000 0.0000 0.0000
Tc1 0.5000 0.5000 0.5000

---

The following is a GGA-PBE calculation of a geometry-optimized FeNiMo2 structure, from the Alexandria database.

Summary:
Energy relative to the elements, eV per formula unit: 1.0
V, Å³/f.u.: 54
Total moment, μB per formula unit: 0.41
Offset from the most stable computed form, meV/atom: 189
Crystal system: trigonal
Raw total energy, Ha/atom: -0.321

a b c (Å): 2.6718 2.6718 26.1615
angles (deg): 90.00 90.00 120.00
Sites, in units of the cell vectors:
Fe1 0.0000 0.0000 0.0000
Fe2 0.3333 0.6667 0.6667
Fe3 0.6667 0.3333 0.3333
Ni1 0.0000 0.0000 0.5000
Ni2 0.3333 0.6667 0.1667
Ni3 0.6667 0.3333 0.8333
Mo1 0.0000 0.0000 0.2517
Mo2 0.0000 0.0000 0.7483
Mo3 0.3333 0.6667 0.4150
Mo4 0.3333 0.6667 0.9183
Mo5 0.6667 0.3333 0.0817
Mo6 0.6667 0.3333 0.5850

---

The following is a GGA-PBE calculation of a geometry-optimized BaHg6Au4 structure, from the Alexandria database.

Summary:
Energy relative to the elements, eV per formula unit: -2.0
V, Å³/f.u.: 292
Total moment, μB per formula unit: 0.00
Crystal system: tetragonal
Raw total energy, Ha/atom: -0.063

a b c (Å): 7.4453 7.4453 7.4453
angles (deg): 119.97 119.97 90.05
Sites, in units of the cell vectors:
Ba1 0.0000 0.0000 0.0000
Hg1 0.0000 0.5000 0.5000
Hg2 0.1082 0.1082 0.6327
Hg3 0.4755 0.4755 0.3673
Hg4 0.5000 0.0000 0.5000
Hg5 0.5245 0.8918 0.0000
Hg6 0.8918 0.5245 0.0000
Au1 0.2565 0.5972 0.0000
Au2 0.4028 0.4028 0.6593
Au3 0.5972 0.2565 0.0000
Au4 0.7435 0.7435 0.3407

---

Question: Look up the V of the second one.
Answer: 54 Å³/f.u.

---

Question: raw total energy of number 2 (FeNiMo2)?
Answer: -0.321 Ha/atom